Entry 1:
GeBiSe4: optimized geometry, PBE-GGA.

Cell: 9.2681 8.0727 10.1903 Å, 90.00 90.00 90.00°
Last column: nearest neighbours and their distance in Å.
Space group Cmcm (No. 63)
One atom of each set of equivalent atoms:
Ge  0.0000  0.1067  0.2500 x4  4 Se 2.36-2.43
Bi  0.0000  0.4413  0.7500 x4  4 Se 2.78-2.97
Se  0.0000  0.3015  0.0683 x8  1 Ge 2.43
Se  0.2006  0.0727  0.7500 x8  1 Ge 2.36

Properties
DFT total energy in eV/atom: -3.8206
ΔE_f (raw) in eV per atom: -0.08

***

Entry 2:
GeBi3Se6: optimized geometry, PBE-GGA.

Cell: 11.5907 14.5745 6.9989 Å, 90.00 90.00 90.00°
Last column: nearest neighbours and their distance in Å.
Space group Cmc2_1 (No. 36)
One atom of each set of equivalent atoms:
Ge  0.0000  0.2001  0.0000 x4  4 Se 2.44-2.47
Bi  0.0000  0.3989  0.3651 x4  7 Se 2.96-3.32
Bi  0.1885  0.0957  0.4758 x8  5 Se 2.90-3.16
Se  0.0000  0.0428  0.1266 x4  1 Ge 2.46
Se  0.0000  0.2184  0.6536 x4  1 Ge 2.44
Se  0.1591  0.4706  0.6755 x8  4 Bi 2.90-3.04
Se  0.1673  0.2676  0.1681 x8  1 Ge 2.47

Properties
DFT total energy in eV/atom: -3.9796
ΔE_f (raw) in eV per atom: -0.26

***

Entry 3:
GeBi3Se: optimized geometry, PBE-GGA.

Cell: 5.5668 5.5668 5.5668 Å, 90.00 90.00 90.00°
Last column: nearest neighbours and their distance in Å.
Space group Pm-3m (No. 221)
One atom of each set of equivalent atoms:
Ge  0.0000  0.0000  0.0000 x1  12 Bi 3.94
Bi  0.0000  0.5000  0.5000 x3  2 Se 2.78
Se  0.5000  0.5000  0.5000 x1  6 Bi 2.78

Properties
Distance to the lowest polymorph of the same formula in eV per atom: 0.000
DFT total energy in eV/atom: -3.2834
ΔE_f (raw) in eV per atom: 0.67